# 1
A plane-wave DFT calculation with PBE-GGA was carried out for a geometry-optimized ZnCr2Os structure.

Properties
- DFT formation energy (eV per formula unit) = 0.838

Lattice parameters (Å, degrees): 3.016 4.090 8.359 90.00 90.00 90.00
Space group Immm (No. 71)
Inequivalent atoms, fractional coordinates:
Zn (0.000, 0.000, 0.000)
Cr (0.000, 0.500, 0.243)
Os (0.000, 0.000, 0.500)


# 2
A plane-wave DFT calculation with PBE-GGA was carried out for a geometry-optimized ZnCr2Os structure.

Properties
- DFT formation energy (eV per formula unit) = 0.853

Lattice parameters (Å, degrees): 2.634 4.043 4.970 90.00 102.13 90.00
Space group Pm (No. 6)
Inequivalent atoms, fractional coordinates:
Zn (0.000, 0.000, 0.000)
Cr (0.562, 0.000, 0.483)
Cr (0.670, 0.500, 0.224)
Os (0.238, 0.500, 0.711)


# 3
A plane-wave DFT calculation with PBE-GGA was carried out for a geometry-optimized ZnCr2Os structure.

Properties
- DFT formation energy (eV per formula unit) = 0.691

Lattice parameters (Å, degrees): 5.969 5.969 5.969 90.00 90.00 90.00
Space group F-43m (No. 216)
Inequivalent atoms, fractional coordinates:
Zn (0.000, 0.000, 0.000)
Cr (0.000, 0.000, 0.500)
Cr (0.250, 0.250, 0.750)
Os (0.250, 0.250, 0.250)


# 4
A plane-wave DFT calculation with PBE-GGA was carried out for a geometry-optimized ZnCr2Os structure.

Properties
- DFT formation energy (eV per formula unit) = 0.856

Lattice parameters (Å, degrees): 2.6500 2.6500 26.0386 90.00 90.00 120.00
Space group R-3m (No. 166, hexagonal axes)
Inequivalent atoms, fractional coordinates:
Zn (0.0000, 0.0000, 0.0000)
Cr (0.0000, 0.0000, 0.2485)
Os (0.0000, 0.0000, 0.5000)


# 5
A plane-wave DFT calculation with PBE-GGA was carried out for a geometry-optimized ZnCr2Os structure.

Properties
- DFT formation energy (eV per formula unit) = 0.588

Lattice parameters (Å, degrees): 2.930 4.261 8.351 90.00 90.00 90.00
Space group Imm2 (No. 44)
Inequivalent atoms, fractional coordinates:
Zn (0.000, 0.000, 0.000)
Cr (0.000, 0.000, 0.483)
Cr (0.000, 0.500, 0.760)
Os (0.000, 0.500, 0.231)


# 6
A plane-wave DFT calculation with PBE-GGA was carried out for a geometry-optimized Zn2CrOs structure.

Properties
- polymorph energy (0 for the lowest one) (eV/atom) = 0.210
- DFT formation energy (eV per formula unit) = 1.047

Lattice parameters (Å, degrees): 3.681 3.681 4.089 90.00 90.00 90.00
Space group P4/mmm (No. 123)
Inequivalent atoms, fractional coordinates:
Zn (0.000, 0.500, 0.000)
Cr (0.000, 0.000, 0.500)
Os (0.500, 0.500, 0.500)


# 7
A plane-wave DFT calculation with PBE-GGA was carried out for a geometry-optimized ZnCr3Os structure.

Properties
- polymorph energy (0 for the lowest one) (eV/atom) = 0.512
- DFT formation energy (eV per formula unit) = 9.064

Lattice parameters (Å, degrees): 4.427 4.427 4.427 90.00 90.00 90.00
Space group Pm-3m (No. 221)
Inequivalent atoms, fractional coordinates:
Zn (0.000, 0.000, 0.000)
Cr (0.000, 0.000, 0.500)
Os (0.500, 0.500, 0.500)


# 8
A plane-wave DFT calculation with PBE-GGA was carried out for a geometry-optimized ZnCr2Os structure.

Properties
- DFT formation energy (eV per formula unit) = 0.880

Lattice parameters (Å, degrees): 2.6521 2.6521 26.0627 90.00 90.00 120.00
Space group R3m (No. 160, hexagonal axes)
Inequivalent atoms, fractional coordinates:
Zn (0.0000, 0.0000, 0.0000)
Cr (0.0000, 0.0000, 0.2487)
Cr (0.0000, 0.0000, 0.5017)
Os (0.0000, 0.0000, 0.7569)


The records above yield V values of 52, 52, 53, 53, 52, 55, 87, 53 Å³/f.u., respectively.
The records above yield magnetic moment values of 0.00, 0.00, 7.19, 0.00, 0.62, 2.27, 8.63, 0.00 μB per cell, respectively.
The records above yield calculated total energy values of -7.728, -7.724, -7.765, -7.724, -7.791, -5.589, -6.462, -7.718 eV per atom, respectively.